Below is crystalline TaIn2FeO6 at its relaxed geometry, with properties calculated at the PBE with a Hubbard U level.

Cell: 5.5080 5.5111 5.8064 Å, 117.32 91.44 119.28°
Space group P1 (No. 1)
One atom of each set of equivalent atoms:
Ta 0.0000 0.0000 0.0000 [1 per cell]
In 0.2164 0.4359 0.6521 [1 per cell]
In 0.7108 0.4245 0.1368 [1 per cell]
Fe 0.4896 0.9844 0.4822 [1 per cell]
O 0.1132 0.9022 0.2850 [1 per cell]
O 0.2681 0.9359 0.8061 [1 per cell]
O 0.3719 0.4770 0.2798 [1 per cell]
O 0.6696 0.5349 0.8074 [1 per cell]
O 0.8006 0.1712 0.2817 [1 per cell]
O 0.8521 0.1242 0.7933 [1 per cell]

Values from the calculation:
- calculated total energy (eV per cell) = -70.811
- volume (Å³ per cell) = 129.31
- M_tot (μB per atom) = 0.399